No. 1
The following is a PBE calculation of a geometry-optimized Tb3SmHg2 structure, from Alexandria via LeMat-Bulk.

Geometry as CIF:
```
data_Tb3SmHg2
_chemical_formula_sum 'Tb6 Sm2 Hg4'
_symmetry_space_group_name_H-M 'P m c 21'
_symmetry_Int_Tables_number 26
_cell_length_a 5.141
_cell_length_b 9.318
_cell_length_c 7.156
_cell_angle_alpha 90.00
_cell_angle_beta 90.00
_cell_angle_gamma 90.00
loop_
_symmetry_equiv_pos_as_xyz
'x,y,z'
'-x,-y,z+1/2'
'-x,y,z'
'x,-y,z+1/2'
loop_
_atom_site_label
_atom_site_type_symbol
_atom_site_fract_x
_atom_site_fract_y
_atom_site_fract_z
Tb1 Tb 0.000 0.057 0.000
Tb2 Tb 0.000 0.324 0.346
Tb3 Tb 0.500 0.173 0.684
Sm1 Sm 0.500 0.443 0.030
Hg1 Hg 0.000 0.350 0.775
Hg2 Hg 0.500 0.148 0.255
```

Properties
The value obtained for the excess energy over the best structure of this formula in the dataset is 0 meV per atom. The formation energy from the elements is -351 meV per atom.

No. 2
The following is a PBE calculation of a geometry-optimized BiPdPb2 structure, from Alexandria via LeMat-Bulk.

Geometry as CIF:
```
data_BiPdPb2
_chemical_formula_sum 'Bi3 Pd3 Pb6'
_symmetry_space_group_name_H-M 'R 3 m'
_symmetry_Int_Tables_number 160
_symmetry_space_group_name_Hall 'R 3 -2"'
_cell_length_a 4.8843
_cell_length_b 4.8843
_cell_length_c 16.7168
_cell_angle_alpha 90.00
_cell_angle_beta 90.00
_cell_angle_gamma 120.00
loop_
_atom_site_label
_atom_site_type_symbol
_atom_site_fract_x
_atom_site_fract_y
_atom_site_fract_z
Bi1 Bi 0.0000 0.0000 0.0000
Pd1 Pd 0.0000 0.0000 0.8303
Pb1 Pb 0.0000 0.0000 0.2243
Pb2 Pb 0.0000 0.0000 0.4360
```

Properties
The formation energy from the elements is -40 meV per atom.

No. 3
The following is a PBE calculation of a geometry-optimized SrGdCu2 structure, from Alexandria via LeMat-Bulk.

Geometry as CIF:
```
data_SrGdCu2
_chemical_formula_sum 'Sr4 Gd4 Cu8'
_symmetry_space_group_name_H-M 'F m -3 m'
_symmetry_Int_Tables_number 225
_symmetry_space_group_name_Hall '-F 4 2 3'
_cell_length_a 7.238
_cell_length_b 7.238
_cell_length_c 7.238
_cell_angle_alpha 90.00
_cell_angle_beta 90.00
_cell_angle_gamma 90.00
loop_
_atom_site_label
_atom_site_type_symbol
_atom_site_fract_x
_atom_site_fract_y
_atom_site_fract_z
Sr1 Sr 0.000 0.000 0.000
Gd1 Gd 0.000 0.000 0.500
Cu1 Cu 0.250 0.250 0.250
```

Properties
The value obtained for the excess energy over the best structure of this formula in the dataset is 81 meV per atom. The formation energy from the elements is -21 meV per atom.

No. 4
The following is a PBE calculation of a geometry-optimized CrCuRe2 structure, from Alexandria via LeMat-Bulk.

Geometry as CIF:
```
data_CrCuRe2
_chemical_formula_sum 'Cr4 Cu4 Re8'
_symmetry_space_group_name_H-M 'F m -3 m'
_symmetry_Int_Tables_number 225
_symmetry_space_group_name_Hall '-F 4 2 3'
_cell_length_a 5.987
_cell_length_b 5.987
_cell_length_c 5.987
_cell_angle_alpha 90.00
_cell_angle_beta 90.00
_cell_angle_gamma 90.00
loop_
_atom_site_label
_atom_site_type_symbol
_atom_site_fract_x
_atom_site_fract_y
_atom_site_fract_z
Cr1 Cr 0.000 0.000 0.000
Cu1 Cu 0.000 0.000 0.500
Re1 Re 0.250 0.250 0.250
```

Properties
The value obtained for the excess energy over the best structure of this formula in the dataset is 101 meV per atom. The formation energy from the elements is 326 meV per atom.